! Li2MgTeC, relaxed, DFT PBE; values from VASP
&SYSTEM
  ibrav = 0, nat = 5, ntyp = 4
/
ATOMIC_SPECIES
Li 6.94 Li.upf
Mg 24.30 Mg.upf
Te 127.60 Te.upf
C 12.01 C.upf
CELL_PARAMETERS angstrom
5.607 0.000 0.000
0.000 5.607 0.000
0.000 0.000 5.215
ATOMIC_POSITIONS angstrom
Li 0.000 2.803 0.000
Li 2.803 0.000 0.000
Mg 0.000 0.000 0.000
Te 0.000 0.000 2.608
C 2.803 2.803 2.608
! ΔE_f (raw) in eV/atom: 1.45



! CdHgPb3, relaxed, DFT PBE; values from VASP
&SYSTEM
  ibrav = 0, nat = 10, ntyp = 3
/
ATOMIC_SPECIES
Cd 112.41 Cd.upf
Hg 200.59 Hg.upf
Pb 207.20 Pb.upf
CELL_PARAMETERS angstrom
5.842 0.000 0.000
0.000 6.822 0.000
-2.107 0.000 7.389
ATOMIC_POSITIONS angstrom
Cd 0.119 1.705 1.656
Cd 3.616 5.116 5.733
Hg 2.731 1.705 0.075
Hg 1.004 5.116 7.314
Pb 0.251 5.116 1.523
Pb 0.441 0.013 4.579
Pb 0.441 3.398 4.579
Pb 3.294 3.424 2.810
Pb 3.294 6.809 2.810
Pb 3.484 1.705 5.866
! E_form in meV per atom: 49.8
! ΔE to the lowest computed polymorph in meV/atom: 10



! Sr2SmMg9, relaxed, DFT PBE; values from VASP
&SYSTEM
  ibrav = 0, nat = 12, ntyp = 3
/
ATOMIC_SPECIES
Sr 87.62 Sr.upf
Sm 150.36 Sm.upf
Mg 24.30 Mg.upf
CELL_PARAMETERS angstrom
3.117 1.799 10.110
-3.117 1.799 10.110
0.000 -3.599 10.110
ATOMIC_POSITIONS angstrom
Sr 0.000 0.000 4.272
Sr 0.000 0.000 26.057
Sm 0.000 0.000 0.000
Mg -1.564 -0.903 12.543
Mg 0.000 0.000 10.118
Mg 0.000 -1.806 17.786
Mg -1.564 0.903 17.786
Mg 0.000 0.000 15.164
Mg 1.564 -0.903 12.543
Mg 0.000 1.806 12.543
Mg 0.000 0.000 20.211
Mg 1.564 0.903 17.786
! E_form in meV per atom: -46.4



What are the energy values for these records? In order: -2.107; -2.419; -1.916 eV/atom.
What are the N(E_F) values for these records? In order: 0.684; 0.474; 0.916 states/eV/atom.